(1)
DFT (PBE) results for crystalline NdHoNi2Ge4 at its relaxed geometry.

As for the symmetry: No. 38.

Cell: 4.2176 8.6086 8.6086 Å, 28.14 90.00 90.00°
Positions (direct):
Ho 0.5000 0.1086 0.1086
Ni 0.5000 0.3187 0.3187
Ni 0.0000 0.6802 0.6802
Ge 0.0000 0.2494 0.2494
Ge 0.5000 0.4591 0.4591
Ge 0.0000 0.5432 0.5432
Ge 0.5000 0.7481 0.7481
Nd 0.0000 0.8928 0.8928


(2)
DFT (PBE) results for crystalline NdHoGe4Os2 at its relaxed geometry.

As for the symmetry: No. 6.

Cell: 4.4777 4.4442 8.3483 Å, 90.00 104.38 90.00°
Positions (direct):
Ge 0.9557 0.5000 0.4118
Ge 0.6818 0.0000 0.0090
Ge 0.3258 0.5000 0.9963
Ge 0.0414 0.0000 0.5870
Ho 0.3771 0.0000 0.2877
Os 0.1132 0.0000 0.8851
Os 0.8954 0.5000 0.1184
Nd 0.6096 0.5000 0.7046


(3)
DFT (PBE) results for crystalline NdHo2Ge4Pd4 at its relaxed geometry.

As for the symmetry: No. 71.

Cell: 8.1656 8.1656 8.1656 Å, 150.32 127.85 61.16°
Positions (direct):
Ho 0.3738 0.8738 0.5000
Ho 0.6262 0.1262 0.5000
Pd 0.6220 0.3238 0.2981
Pd 0.0257 0.3238 0.7019
Pd 0.9743 0.6762 0.2981
Pd 0.3780 0.6762 0.7019
Nd 0.0000 0.0000 0.0000
Ge 0.6845 0.5000 0.1845
Ge 0.3155 0.5000 0.8155
Ge 0.2193 0.2193 0.0000
Ge 0.7807 0.7807 0.0000


no.,calculated total energy (eV per atom),size of the total moment (μB per cell)
1,-5.586,0.00
2,-6.757,0.00
3,-5.755,0.00